# 1
First-principles (PBEsol) data for a relaxed structure of MoIr2SeCl, as listed in Alexandria.

Summary:
Symmetry: P4/mmm
Magnetic moment: 0.784 μB/atom
Energy relative to the elements, uncorrected: 1639 meV per atom

a b c (Å): 4.524 4.524 4.901
angles (deg): 90.00 90.00 90.00
Fractional positions:
Ir: 0.000 0.500 0.000
Ir: 0.500 0.000 0.000
Mo: 0.500 0.500 0.500
Se: 0.000 0.000 0.000
Cl: 0.000 0.000 0.500

***

# 2
First-principles (PBEsol) data for a relaxed structure of Na2IrOsCl, as listed in Alexandria.

Summary:
Symmetry: P4/mmm
Magnetic moment: 0.336 μB/atom
Energy relative to the elements, uncorrected: 997 meV per atom

a b c (Å): 4.527 5.711 5.711
angles (deg): 90.00 90.00 90.00
Fractional positions:
Os: 0.000 0.000 0.000
Cl: 0.500 0.500 0.500
Ir: 0.500 0.000 0.000
Na: 0.000 0.000 0.500
Na: 0.000 0.500 0.000